! PBE TbPrMgAg, relaxed; values from VASP
! - DFT formation energy (eV per formula unit) = -0.736
! - space-group type = P4mm (99)
! - D(E_F) (states/eV/atom) = 0.848
! - total magnetization (μB/f.u.) = 0.0
! - offset from the most stable computed form (meV/atom) = 0.0
&SYSTEM
  ibrav = 0, nat = 4, ntyp = 4
/
ATOMIC_SPECIES
Tb 158.93 Tb.upf
Pr 140.91 Pr.upf
Mg 24.30 Mg.upf
Ag 107.87 Ag.upf
ATOMIC_POSITIONS angstrom
Tb 0.0000 0.0000 0.0000
Pr 0.0000 0.0000 3.8457
Mg 1.9017 1.9017 1.8489
Ag 1.9017 1.9017 5.8245
CELL_PARAMETERS angstrom
3.8033 0.0000 0.0000
0.0000 3.8033 0.0000
0.0000 0.0000 7.4588